*w*
Below is a geometry-optimized PmZn3Au3 structure, with properties calculated at the GGA-PBE level.

Computed properties:
As for the space group: No. 176. For the density of states at the Fermi level, the calculation gives 6.77 states/eV/cell. For the magnetic moment, the calculation gives 0.00 μB/f.u.

Structure (POSCAR):
```
PmZn3Au3
1.0
8.441 0.000 0.000
-4.220 7.310 0.000
0.000 0.000 4.373
Pm Zn Au
2 6 6
Cartesian
0.000 4.873 1.093
4.220 2.437 3.279
-3.299 5.845 1.093
0.808 1.530 1.093
1.729 0.065 3.279
2.491 7.245 1.093
3.412 5.780 3.279
7.520 1.465 3.279
-2.220 4.679 3.279
1.278 3.048 3.279
3.279 0.417 1.093
0.941 6.893 3.279
2.942 4.262 1.093
6.440 2.631 1.093
```



*x*
Below is a geometry-optimized PmZn3Au3 structure, with properties calculated at the GGA-PBE level.

Computed properties:
As for the space group: No. 223. For the density of states at the Fermi level, the calculation gives 8.69 states/eV/cell. For the magnetic moment, the calculation gives 0.00 μB/f.u.

Structure (POSCAR):
```
PmZn3Au3
1.0
6.984 0.000 0.000
0.000 6.984 0.000
0.000 0.000 6.984
Pm Zn Au
2 6 6
Cartesian
0.000 0.000 0.000
3.492 3.492 3.492
0.000 1.746 3.492
0.000 5.238 3.492
1.746 3.492 0.000
3.492 0.000 1.746
3.492 0.000 5.238
5.238 3.492 0.000
0.000 3.492 1.746
0.000 3.492 5.238
1.746 0.000 3.492
3.492 1.746 0.000
3.492 5.238 0.000
5.238 0.000 3.492
```



Which of the structures shown above is the most stable? The most stable is *w*.